La2Ge2Pd: single point on PBEsol structure, SCAN.

POSCAR file:
```
La2Ge2Pd
1.0
-2.626 -1.148 3.842
3.831 -5.552 0.960
4.220 3.596 3.959
La Ge Pd
4 4 2
direct
0.500 0.827 0.327
0.500 0.173 0.673
0.500 0.327 0.173
0.500 0.673 0.827
0.000 0.136 0.364
0.000 0.364 0.864
0.000 0.864 0.636
0.000 0.636 0.136
0.000 0.000 0.000
0.000 0.500 0.500
```

Its symmetry is P4/mbm. For the uncorrected energy, the calculation gives -32.3330 eV per atom.


Ni2MoBr: single point on PBEsol structure, SCAN.

POSCAR file:
```
Ni2MoBr
1.0
-2.589 -1.124 2.407
1.690 -3.290 0.282
2.620 3.577 1.631
Ni Mo Br
2 1 1
direct
0.250 0.750 0.500
0.750 0.250 0.500
0.000 0.000 0.000
0.500 0.500 0.000
```

Its symmetry is I4/mmm. The uncorrected formation energy is 1033.8 meV per atom.


MnAs2P: single point on PBEsol structure, SCAN.

POSCAR file:
```
MnAs2P
1.0
4.435 -0.006 0.000
-1.462 4.184 0.000
-1.486 -2.089 3.635
As Mn P
2 1 1
direct
0.500 0.500 0.500
0.000 0.000 0.500
0.500 0.000 0.000
0.000 0.500 0.000
```

Its symmetry is Fmmm. For the uncorrected energy, the calculation gives -17.3410 eV per atom.


LaYSc2: single point on PBEsol structure, SCAN.

POSCAR file:
```
LaYSc2
1.0
-0.982 3.049 1.280
-2.964 0.565 -3.621
-4.912 -3.068 3.542
La Y Sc
1 1 2
direct
0.500 0.500 0.758
0.000 0.000 0.488
0.000 0.000 0.013
0.500 0.500 0.241
```

Its symmetry is Pmm2. The energy above the most stable polymorph in this dataset comes out at 26.2 meV per atom.


TbInAg2: single point on PBEsol structure, SCAN.

POSCAR file:
```
TbInAg2
1.0
-0.824 -1.095 4.661
2.549 -3.531 2.153
3.311 1.108 3.378
In Tb Ag
1 1 2
direct
0.000 0.000 0.000
0.500 0.500 0.500
0.750 0.750 0.750
0.250 0.250 0.250
```

Its symmetry is Fm-3m. For the uncorrected energy, the calculation gives -36.1483 eV per atom.


MgSbBr2: single point on PBEsol structure, SCAN.

POSCAR file:
```
MgSbBr2
1.0
4.318 0.000 0.000
0.000 4.795 0.000
0.000 0.000 4.795
Sb Mg Br
1 1 2
direct
0.500 0.000 0.000
0.500 0.500 0.500
0.000 0.500 0.000
0.000 0.000 0.500
```

Its symmetry is P4/mmm. The uncorrected formation energy is -77.3 meV per atom. The energy above the most stable polymorph in this dataset comes out at 274.0 meV per atom.


NaCoRu3: single point on PBEsol structure, SCAN.

POSCAR file:
```
NaCoRu3
1.0
-2.682 -2.013 -2.726
1.619 -3.815 1.225
-2.977 -0.262 3.122
Ru Na Co
3 1 1
direct
0.500 0.000 0.000
0.000 0.500 0.000
0.000 0.000 0.500
0.000 0.000 0.000
0.500 0.500 0.500
```

Its symmetry is Pm-3m. For the uncorrected energy, the calculation gives -22.6240 eV per atom.


LiReNi2: single point on PBEsol structure, SCAN.

POSCAR file:
```
LiReNi2
1.0
-2.427 0.516 0.267
-0.892 -3.521 -1.301
0.137 -1.735 4.601
Re Li Ni
1 1 2
direct
0.000 0.000 0.473
0.500 0.500 0.782
0.000 0.000 0.975
0.500 0.500 0.270
```

Its symmetry is Pmm2. The energy above the most stable polymorph in this dataset comes out at 174.1 meV per atom.